# Pm6TeAs2Se3, optimized geometry, DFT PBE-GGA
data_Pm6TeAs2Se3
_chemical_formula_sum 'Pm12 Te2 As4 Se6'
_symmetry_space_group_name_H-M 'C 1 2/m 1'
_symmetry_Int_Tables_number 12
_cell_length_a 18.559
_cell_length_b 4.249
_cell_length_c 8.549
_cell_angle_alpha 90.00
_cell_angle_beta 102.82
_cell_angle_gamma 90.00
loop_
_symmetry_equiv_pos_as_xyz
'x,y,z'
'-x,-y,-z'
'-x,y,-z'
'x,-y,z'
'x+1/2,y+1/2,z'
'-x+1/2,-y+1/2,-z'
'-x+1/2,y+1/2,-z'
'x+1/2,-y+1/2,z'
loop_
_atom_site_label
_atom_site_type_symbol
_atom_site_fract_x
_atom_site_fract_y
_atom_site_fract_z
Pm1 Pm 0.006 0.000 0.272
Pm2 Pm 0.170 0.500 0.578
Pm3 Pm 0.175 0.500 0.101
Te1 Te 0.000 0.500 0.000
As1 As 0.167 0.000 0.334
Se1 Se 0.000 0.500 0.500
Se2 Se 0.162 0.000 0.835
# Raw total energy = -71.80 eV/f.u.
# Total magnetic moment = 0.000 μB per formula unit